Computed, not measured: crystalline Sm2GdTl at its relaxed geometry at the PBE level of DFT.

Computed properties:
Formation energy = -0.616 eV/f.u.
Polymorph energy (0 for the lowest one) = 0.059 eV/atom
Calculated total energy = -6.63 eV/atom
Calculated density = 8.79 g cm⁻³

Geometry as POSCAR:
```
Sm2GdTl
1.0
3.6794 0.0000 0.0000
0.0000 3.6794 0.0000
0.0000 0.0000 9.2430
Sm Gd Tl
2 1 1
Cartesian
0.0000 0.0000 2.1106 Sm
0.0000 0.0000 7.1324 Sm
1.8397 1.8397 4.6215 Gd
1.8397 1.8397 0.0000 Tl
```

Computed, not measured: crystalline Pr4Ag5Pt2 at its relaxed geometry at the PBE level of DFT.

Computed properties:
Formation energy = -5.550 eV/f.u.
Calculated total energy = -4.64 eV/atom
Calculated density = 9.04 g cm⁻³

Geometry as POSCAR:
```
Pr4Ag5Pt2
1.0
7.5118 0.0000 0.0000
0.0000 3.8522 0.0000
-0.9020 0.0000 9.4749
Pr Ag Pt
4 5 2
Cartesian
1.0879 0.0000 3.4354 Pr
0.9369 0.0000 8.9128 Pr
5.6730 0.0000 0.5621 Pr
5.5220 0.0000 6.0395 Pr
0.7733 1.9261 6.1134 Ag
3.2903 1.9261 1.8001 Ag
3.3049 1.9261 4.7375 Ag
3.3196 1.9261 7.6748 Ag
5.8365 1.9261 3.3615 Ag
0.4035 1.9261 1.3700 Pt
6.2064 1.9261 8.1049 Pt
```

Computed, not measured: crystalline Li12Ca2Mg3Tl at its relaxed geometry at the PBE level of DFT.

Computed properties:
Formation energy = 0.759 eV/f.u.
Calculated total energy = -1.85 eV/atom
Calculated density = 1.68 g cm⁻³

Geometry as POSCAR:
```
Li12Ca2Mg3Tl
1.0
3.0217 1.7446 13.7921
-3.0217 1.7446 13.7921
0.0000 -3.4892 13.7921
Li Ca Mg Tl
12 2 3 1
Cartesian
0.0000 -1.8097 11.4358 Li
-1.5672 0.9048 11.4358 Li
-1.4724 -0.8501 18.3599 Li
-1.5672 -0.9048 29.9404 Li
0.0000 -1.7002 23.0164 Li
-1.4724 0.8501 23.0164 Li
1.4724 -0.8501 18.3599 Li
0.0000 1.7002 18.3599 Li
1.5672 0.9048 11.4359 Li
1.4724 0.8501 23.0164 Li
1.5672 -0.9048 29.9404 Li
0.0000 1.8097 29.9404 Li
0.0000 0.0000 6.1172 Ca
0.0000 0.0000 35.2590 Ca
-1.5109 -0.8723 13.7921 Mg
-1.5109 0.8723 27.5842 Mg
0.0000 1.7446 13.7921 Mg
0.0000 0.0000 20.6881 Tl
```

Computed, not measured: crystalline Sr2Ir2O at its relaxed geometry at the PBE level of DFT.

Computed properties:
Energy relative to the elements, uncorrected = 0.21 eV/atom
Polymorph energy (0 for the lowest one) = 0.420 eV/atom
Calculated total energy = -5.00 eV/atom
Calculated density = 8.70 g cm⁻³

Geometry as POSCAR:
```
Sr2Ir2O
1.0
6.9756 0.0000 0.0000
0.0000 6.9756 0.0000
0.0000 0.0000 4.5175
Sr Ir O
4 4 2
Cartesian
1.2708 2.2170 0.0000 Sr
2.2170 5.7048 0.0000 Sr
4.7586 1.2708 0.0000 Sr
5.7048 4.7586 0.0000 Sr
0.8542 4.3420 2.2588 Ir
2.6336 0.8542 2.2588 Ir
4.3420 6.1214 2.2588 Ir
6.1214 2.6336 2.2588 Ir
0.0000 0.0000 2.2588 O
3.4878 3.4878 2.2588 O
```

Computed, not measured: crystalline Tb2TaTe at its relaxed geometry at the PBE level of DFT.

Computed properties:
Energy relative to the elements, uncorrected = 0.38 eV/atom
Calculated total energy = -5.68 eV/atom
Calculated density = 9.13 g cm⁻³

Geometry as POSCAR:
```
Tb2TaTe
1.0
1.8028 1.0408 10.1155
-1.8028 1.0408 10.1155
0.0000 -2.0817 10.1155
Tb Ta Te
2 1 1
Cartesian
0.0000 0.0000 2.8656 Tb
0.0000 0.0000 27.4810 Tb
0.0000 0.0000 0.0000 Ta
0.0000 0.0000 15.1733 Te
```

Computed, not measured: crystalline CuReNi4 at its relaxed geometry at the PBE level of DFT.

Computed properties:
Formation energy = 1.220 eV/f.u.
Polymorph energy (0 for the lowest one) = 0.120 eV/atom
Calculated total energy = -6.41 eV/atom
Calculated density = 11.41 g cm⁻³

Geometry as POSCAR:
```
CuReNi4
1.0
0.0000 3.2790 3.2790
3.2790 0.0000 3.2790
3.2790 3.2790 0.0000
Cu Re Ni
1 1 4
Cartesian
0.0000 0.0000 0.0000 Cu
1.6395 1.6395 1.6395 Re
4.0981 2.4599 2.4599 Ni
2.4599 4.0981 2.4599 Ni
2.4599 2.4599 4.0981 Ni
4.0981 4.0981 4.0981 Ni
```

Computed, not measured: crystalline KHg2Cl at its relaxed geometry at the PBE level of DFT.

Computed properties:
Energy relative to the elements, uncorrected = -0.66 eV/atom
Polymorph energy (0 for the lowest one) = 0.218 eV/atom
Calculated total energy = -1.55 eV/atom
Calculated density = 5.81 g cm⁻³

Geometry as POSCAR:
```
KHg2Cl
1.0
0.0000 4.0813 4.0813
4.0813 0.0000 4.0813
4.0813 4.0813 0.0000
K Hg Cl
1 2 1
Cartesian
0.0000 0.0000 0.0000 K
2.0406 2.0406 2.0406 Hg
6.1219 6.1219 6.1219 Hg
4.0813 4.0813 4.0813 Cl
```

Computed, not measured: crystalline MnIrPt2Br at its relaxed geometry at the PBE level of DFT.

Computed properties:
Energy relative to the elements, uncorrected = 1.42 eV/atom
Calculated total energy = -4.94 eV/atom
Calculated density = 12.34 g cm⁻³

Geometry as POSCAR:
```
MnIrPt2Br
1.0
4.6693 0.0000 0.0000
0.0000 4.6693 0.0000
0.0000 0.0000 4.4278
Mn Ir Pt Br
1 1 2 1
Cartesian
0.0000 0.0000 0.0000 Mn
2.3346 2.3346 0.0000 Ir
0.0000 2.3346 2.2139 Pt
2.3346 0.0000 2.2139 Pt
0.0000 0.0000 2.2139 Br
```

Computed, not measured: crystalline CsNaTl2Ga at its relaxed geometry at the PBE level of DFT.

Computed properties:
Formation energy = 0.100 eV/f.u.
Calculated total energy = -1.97 eV/atom
Calculated density = 5.29 g cm⁻³

Geometry as POSCAR:
```
CsNaTl2Ga
1.0
5.8328 0.0000 0.0000
0.0000 5.8328 0.0000
0.0000 0.0000 5.8481
Cs Na Tl Ga
1 1 2 1
Cartesian
0.0000 0.0000 0.0000 Cs
2.9164 2.9164 0.0000 Na
0.0000 2.9164 2.9241 Tl
2.9164 0.0000 2.9241 Tl
2.9164 2.9164 2.9241 Ga
```

Computed, not measured: crystalline PrThCdOs at its relaxed geometry at the PBE level of DFT.

Computed properties:
Formation energy = -0.156 eV/f.u.
Calculated total energy = -6.13 eV/atom
Calculated density = 11.17 g cm⁻³

Geometry as POSCAR:
```
PrThCdOs
1.0
0.0000 3.6895 3.6895
3.6895 0.0000 3.6895
3.6895 3.6895 0.0000
Pr Th Cd Os
1 1 1 1
Cartesian
0.0000 0.0000 0.0000 Pr
3.6895 3.6895 3.6895 Th
1.8448 1.8448 1.8448 Cd
5.5343 5.5343 5.5343 Os
```

Computed, not measured: crystalline Cs3ThNp3Se8 at its relaxed geometry at the PBE level of DFT.

Computed properties:
Energy relative to the elements, uncorrected = -1.35 eV/atom
Calculated total energy = -6.47 eV/atom
Calculated density = 6.04 g cm⁻³

Geometry as POSCAR:
```
Cs3ThNp3Se8
1.0
4.2910 2.4774 8.5101
-4.2910 2.4774 8.5101
0.0000 -4.9548 8.5101
Cs Th Np Se
3 1 3 8
Cartesian
-2.1455 -1.2387 8.5101 Cs
-2.1455 1.2387 17.0202 Cs
0.0000 2.4774 8.5101 Cs
0.0000 0.0000 12.7652 Th
-4.2910 0.0000 12.7651 Np
-2.1455 1.2387 4.2550 Np
2.1455 1.2387 4.2551 Np
0.0000 0.0000 5.8002 Se
-2.1490 -1.2407 14.3405 Se
0.0000 -2.4815 11.1898 Se
-2.1490 1.2407 11.1898 Se
2.1490 -1.2407 14.3405 Se
0.0000 2.4815 14.3405 Se
2.1490 1.2407 11.1898 Se
0.0000 0.0000 19.7301 Se
```

Computed, not measured: crystalline ReGe2Cl at its relaxed geometry at the PBE level of DFT.

Computed properties:
Energy relative to the elements, uncorrected = 0.94 eV/atom
Polymorph energy (0 for the lowest one) = 0.362 eV/atom
Calculated total energy = -4.94 eV/atom
Calculated density = 8.47 g cm⁻³

Geometry as POSCAR:
```
ReGe2Cl
1.0
0.0000 3.3007 3.3007
3.3007 0.0000 3.3007
3.3007 3.3007 0.0000
Re Ge Cl
1 2 1
Cartesian
0.0000 0.0000 0.0000 Re
1.6503 1.6503 1.6503 Ge
4.9510 4.9510 4.9510 Ge
3.3007 3.3007 3.3007 Cl
```

> What is the formula in the seventh record?

KHg2Cl